# Rb2SrZnSb2 (GGA-PBE, relaxed)
data_Rb2SrZnSb2
_chemical_formula_sum 'Rb8 Sr4 Zn4 Sb8'
_cell_length_a 7.497
_cell_length_b 16.503
_cell_length_c 7.597
_cell_angle_alpha 90.00
_cell_angle_beta 90.00
_cell_angle_gamma 90.00
_space_group_name_H-M_alt 'I b a m'
_space_group_IT_number 72
_space_group_name_Hall '-I 2 2c'
loop_
_atom_site_label
_atom_site_type_symbol
_atom_site_fract_x
_atom_site_fract_y
_atom_site_fract_z
Rb1 Rb 0.224 0.178 0.000
Sr1 Sr 0.000 0.500 0.250
Zn1 Zn 0.000 0.000 0.250
Sb1 Sb 0.209 0.091 0.500
# ΔE_f (raw)   -0.53 eV/atom
# Total moment   0.00 μB per cell


# RbSrZn2Sb (GGA-PBE, relaxed)
data_RbSrZn2Sb
_chemical_formula_sum 'Rb1 Sr1 Zn2 Sb1'
_cell_length_a 5.652
_cell_length_b 5.652
_cell_length_c 6.265
_cell_angle_alpha 90.00
_cell_angle_beta 90.00
_cell_angle_gamma 90.00
_space_group_name_H-M_alt 'P 4/m m m'
_space_group_IT_number 123
_space_group_name_Hall '-P 4 2'
loop_
_atom_site_label
_atom_site_type_symbol
_atom_site_fract_x
_atom_site_fract_y
_atom_site_fract_z
Rb1 Rb 0.000 0.000 0.000
Sr1 Sr 0.500 0.500 0.000
Zn1 Zn 0.000 0.500 0.500
Sb1 Sb 0.500 0.500 0.500
# ΔE_f (raw)   0.15 eV/atom
# Fermi-level density of states   0.98 states/eV/atom
# Total moment   0.41 μB per cell


# RbTa2Sb (GGA-PBE, relaxed)
data_RbTa2Sb
_chemical_formula_sum 'Rb4 Ta8 Sb4'
_cell_length_a 8.479
_cell_length_b 8.479
_cell_length_c 6.041
_cell_angle_alpha 90.00
_cell_angle_beta 90.00
_cell_angle_gamma 90.00
_space_group_name_H-M_alt 'I -4 2 d'
_space_group_IT_number 122
_space_group_name_Hall 'I -4 2bw'
loop_
_atom_site_label
_atom_site_type_symbol
_atom_site_fract_x
_atom_site_fract_y
_atom_site_fract_z
Rb1 Rb 0.000 0.000 0.000
Ta1 Ta 0.193 0.250 0.625
Sb1 Sb 0.000 0.000 0.500
# ΔE_f (raw)   1.57 eV/atom
# Fermi-level density of states   1.70 states/eV/atom
# Total moment   0.00 μB per cell


# RbTaSb (GGA-PBE, relaxed)
data_RbTaSb
_chemical_formula_sum 'Rb2 Ta2 Sb2'
_cell_length_a 3.627
_cell_length_b 4.883
_cell_length_c 13.282
_cell_angle_alpha 91.02
_cell_angle_beta 91.62
_cell_angle_gamma 111.79
_space_group_name_H-M_alt 'P 1'
_space_group_IT_number 1
_space_group_name_Hall 'P 1'
loop_
_atom_site_label
_atom_site_type_symbol
_atom_site_fract_x
_atom_site_fract_y
_atom_site_fract_z
Rb1 Rb 0.000 0.000 0.000
Rb2 Rb 0.205 0.546 0.334
Ta1 Ta 0.541 0.139 0.728
Ta2 Ta 0.837 0.748 0.634
Sb1 Sb 0.269 0.577 0.801
Sb2 Sb 0.517 0.130 0.520
# ΔE_f (raw)   0.08 eV/atom
# Fermi-level density of states   0.70 states/eV/atom
# Total moment   0.00 μB per cell


# RbTaSb (GGA-PBE, relaxed)
data_RbTaSb
_chemical_formula_sum 'Rb2 Ta2 Sb2'
_cell_length_a 3.603
_cell_length_b 3.603
_cell_length_c 14.306
_cell_angle_alpha 90.00
_cell_angle_beta 91.06
_cell_angle_gamma 90.00
_space_group_name_H-M_alt 'P 1 21/m 1'
_space_group_IT_number 11
_space_group_name_Hall '-P 2yb'
loop_
_atom_site_label
_atom_site_type_symbol
_atom_site_fract_x
_atom_site_fract_y
_atom_site_fract_z
Rb1 Rb 0.224 0.250 0.157
Ta1 Ta 0.246 0.250 0.450
Sb1 Sb 0.262 0.250 0.658
# ΔE_f (raw)   -0.06 eV/atom
# Fermi-level density of states   0.66 states/eV/atom
# Total moment   0.00 μB per cell


# RbTaSb3 (GGA-PBE, relaxed)
data_RbTaSb3
_chemical_formula_sum 'Rb1 Ta1 Sb3'
_cell_length_a 5.475
_cell_length_b 5.475
_cell_length_c 5.475
_cell_angle_alpha 90.00
_cell_angle_beta 90.00
_cell_angle_gamma 90.00
_space_group_name_H-M_alt 'P m -3 m'
_space_group_IT_number 221
_space_group_name_Hall '-P 4 2 3'
loop_
_atom_site_label
_atom_site_type_symbol
_atom_site_fract_x
_atom_site_fract_y
_atom_site_fract_z
Rb1 Rb 0.000 0.000 0.000
Ta1 Ta 0.500 0.500 0.500
Sb1 Sb 0.000 0.500 0.500
# ΔE_f (raw)   0.03 eV/atom
# Fermi-level density of states   0.43 states/eV/atom
# Total moment   0.00 μB per cell


# Rb2TaSb (GGA-PBE, relaxed)
data_Rb2TaSb
_chemical_formula_sum 'Rb8 Ta4 Sb4'
_cell_length_a 14.008
_cell_length_b 14.008
_cell_length_c 5.380
_cell_angle_alpha 90.00
_cell_angle_beta 90.00
_cell_angle_gamma 90.00
_space_group_name_H-M_alt 'I -4 2 d'
_space_group_IT_number 122
_space_group_name_Hall 'I -4 2bw'
loop_
_atom_site_label
_atom_site_type_symbol
_atom_site_fract_x
_atom_site_fract_y
_atom_site_fract_z
Rb1 Rb 0.006 0.750 0.125
Ta1 Ta 0.000 0.000 0.000
Sb1 Sb 0.000 0.000 0.500
# ΔE_f (raw)   0.80 eV/atom
# Fermi-level density of states   0.92 states/eV/atom
# Total moment   10.27 μB per cell


# RbTaSb3 (GGA-PBE, relaxed)
data_RbTaSb3
_chemical_formula_sum 'Rb1 Ta1 Sb3'
_cell_length_a 5.642
_cell_length_b 5.642
_cell_length_c 5.642
_cell_angle_alpha 90.00
_cell_angle_beta 90.00
_cell_angle_gamma 90.00
_space_group_name_H-M_alt 'P m -3 m'
_space_group_IT_number 221
_space_group_name_Hall '-P 4 2 3'
loop_
_atom_site_label
_atom_site_type_symbol
_atom_site_fract_x
_atom_site_fract_y
_atom_site_fract_z
Rb1 Rb 0.000 0.000 0.000
Ta1 Ta 0.500 0.500 0.500
Sb1 Sb 0.000 0.000 0.500
# ΔE_f (raw)   2.35 eV/atom
# Fermi-level density of states   2.04 states/eV/atom
# Total moment   0.07 μB per cell


- ΔE_f (raw) of number 6 (RbTaSb3)?
  0.03 eV/atom


- Which formula does entry 5 have?
  RbTaSb


- Which value of total moment does entry 3 give?
  0.00 μB per cell